No. 1
First-principles (PBE) data for a relaxed BeAl2Au8 crystal, as listed in Alexandria.

Structure (POSCAR):
```
BeAl2Au8
1.0
-2.232 3.082 6.788
2.232 -3.082 6.788
2.232 3.082 -6.788
Be Al Au
1 2 8
Direct
0.000 0.000 0.000
0.322 0.322 0.000
0.678 0.678 0.000
0.131 0.870 0.262
0.191 0.691 0.500
0.252 0.500 0.752
0.392 0.130 0.262
0.608 0.870 0.738
0.748 0.500 0.248
0.809 0.309 0.500
0.869 0.130 0.738
```

ΔE_f ... -18.9 kJ per mole of atoms
Symmetry ... Immm, No. 71
Magnetic moment ... 0.000 μB per formula unit

---

No. 2
First-principles (PBE) data for a relaxed Ta2H crystal, as listed in Alexandria.

Structure (POSCAR):
```
Ta2H
1.0
4.857 0.000 0.000
0.000 3.251 0.000
-0.574 0.000 4.875
Ta H
4 2
Direct
0.234 0.000 0.263
0.266 0.500 0.737
0.734 0.500 0.263
0.766 0.000 0.737
0.000 0.500 0.000
0.500 0.000 0.000
```

Uncorrected energy ... -27.35 eV per formula unit
Symmetry ... C2/m, No. 12
Magnetic moment ... 0.000 μB per formula unit

---

No. 3
First-principles (PBE) data for a relaxed Sc5PaS6 crystal, as listed in Alexandria.

Structure (POSCAR):
```
Sc5PaS6
1.0
3.235 -5.609 0.000
3.235 5.609 0.000
-2.174 0.000 6.073
Sc Pa S
5 1 6
Direct
0.000 0.000 0.000
0.167 0.833 0.500
0.331 0.669 0.000
0.669 0.331 0.000
0.833 0.167 0.500
0.500 0.500 0.500
0.073 0.415 0.245
0.244 0.244 0.757
0.415 0.073 0.245
0.585 0.927 0.755
0.756 0.756 0.243
0.927 0.585 0.755
```

Energy relative to the elements, uncorrected ... -1.796 eV/atom
Symmetry ... C2/m, No. 12
Magnetic moment ... 0.000 μB per formula unit

---

No. 4
First-principles (PBE) data for a relaxed ZrTi2Nb2 crystal, as listed in Alexandria.

Structure (POSCAR):
```
ZrTi2Nb2
1.0
7.612 0.000 0.000
0.000 7.612 0.000
0.000 0.000 3.316
Zr Ti Nb
2 4 4
Direct
0.000 0.000 0.000
0.500 0.500 0.000
0.141 0.359 0.500
0.359 0.859 0.500
0.641 0.141 0.500
0.859 0.641 0.500
0.152 0.652 0.000
0.348 0.152 0.000
0.652 0.848 0.000
0.848 0.348 0.000
```

ΔE_f ... 19.5 kJ per mole of atoms
Symmetry ... P4/mbm, No. 127
Magnetic moment ... 0.000 μB per formula unit

---

Which formula does entry 3 have?
Sc5PaS6

---

Look up the magnetic moment of the first one.
0.000 μB per formula unit